(1)
Crystalline TlCuOs2 at its relaxed geometry, computed with PBE-GGA.

Calculated values
* density: 14.58 Mg/m³
* uncorrected energy: -6.30 eV/atom
* formation energy from the elements: 3.71 eV per formula unit
* spin magnetization: 0.00 μB per atom
* relative energy among the computed polymorphs: 0.424 eV per atom

CIF file:
```
data_TlCuOs2
_chemical_formula_sum 'Tl4 Cu4 Os8'
_cell_length_a 3.970
_cell_length_b 3.970
_cell_length_c 18.745
_cell_angle_alpha 90.00
_cell_angle_beta 90.00
_cell_angle_gamma 90.00
_symmetry_space_group_name_H-M 'I -4 2 d'
_symmetry_Int_Tables_number 122
_symmetry_space_group_name_Hall 'I -4 2bw'
loop_
_atom_site_label
_atom_site_type_symbol
_atom_site_fract_x
_atom_site_fract_y
_atom_site_fract_z
Tl1 Tl 0.000 0.000 0.000
Cu1 Cu 0.000 0.000 0.500
Os1 Os 0.162 0.250 0.625
```

---

(2)
Crystalline PmErAs at its relaxed geometry, computed with PBE-GGA.

Calculated values
* density: 8.06 Mg/m³
* uncorrected energy: -5.38 eV/atom
* formation energy from the elements: -2.17 eV per formula unit
* spin magnetization: 0.32 μB per atom
* relative energy among the computed polymorphs: 0.114 eV per atom

CIF file:
```
data_PmErAs
_chemical_formula_sum 'Pm2 Er2 As2'
_cell_length_a 3.739
_cell_length_b 3.739
_cell_length_c 11.403
_cell_angle_alpha 90.00
_cell_angle_beta 90.00
_cell_angle_gamma 90.00
_symmetry_space_group_name_H-M 'I 4 m m'
_symmetry_Int_Tables_number 107
_symmetry_space_group_name_Hall 'I 4 -2'
loop_
_atom_site_label
_atom_site_type_symbol
_atom_site_fract_x
_atom_site_fract_y
_atom_site_fract_z
Pm1 Pm 0.000 0.000 0.000
Er1 Er 0.000 0.000 0.717
As1 As 0.000 0.000 0.340
```

---

(3)
Crystalline ReHg2Rh at its relaxed geometry, computed with PBE-GGA.

Calculated values
* density: 16.15 Mg/m³
* uncorrected energy: -4.27 eV/atom
* formation energy from the elements: 3.32 eV per formula unit
* spin magnetization: 0.63 μB per atom
* relative energy among the computed polymorphs: 0.556 eV per atom

CIF file:
```
data_ReHg2Rh
_chemical_formula_sum 'Re1 Hg2 Rh1'
_cell_length_a 4.159
_cell_length_b 4.159
_cell_length_c 4.102
_cell_angle_alpha 90.00
_cell_angle_beta 90.00
_cell_angle_gamma 90.00
_symmetry_space_group_name_H-M 'P 4/m m m'
_symmetry_Int_Tables_number 123
_symmetry_space_group_name_Hall '-P 4 2'
loop_
_atom_site_label
_atom_site_type_symbol
_atom_site_fract_x
_atom_site_fract_y
_atom_site_fract_z
Re1 Re 0.000 0.000 0.000
Hg1 Hg 0.000 0.500 0.500
Rh1 Rh 0.500 0.500 0.000
```